The following is a PBE calculation of a geometry-optimized LiVSe3 structure, from Alexandria via LeMat-Bulk.

Structure (POSCAR):
```
LiVSe3
1.0
8.274 -2.363 0.000
8.274 2.363 0.000
-1.193 0.000 7.053
Li V Se
2 2 6
direct
0.174 0.174 0.038
0.826 0.826 0.962
0.310 0.310 0.498
0.690 0.690 0.502
0.175 0.175 0.578
0.332 0.332 0.158
0.403 0.403 0.763
0.597 0.597 0.237
0.668 0.668 0.842
0.825 0.825 0.422
```

* energy above the most stable polymorph in this dataset: 1.028 eV/f.u.
* formation energy from raw total energies: -0.5376 eV per atom


The following is a PBE calculation of a geometry-optimized NpTe2Pd structure, from Alexandria via LeMat-Bulk.

Structure (POSCAR):
```
NpTe2Pd
1.0
2.247 1.298 6.007
-2.247 1.298 6.007
0.000 -2.595 6.007
Np Te Pd
1 2 1
direct
0.000 0.000 0.000
0.244 0.244 0.244
0.756 0.756 0.756
0.500 0.500 0.500
```

* energy above the most stable polymorph in this dataset: 0.680 eV/f.u.
* formation energy from raw total energies: -0.3705 eV per atom


The following is a PBE calculation of a geometry-optimized InSn2Ru structure, from Alexandria via LeMat-Bulk.

Structure (POSCAR):
```
InSn2Ru
1.0
-3.361 3.361 5.533
3.361 -3.361 5.533
3.361 3.361 -5.533
In Sn Ru
2 4 2
direct
0.000 0.000 0.000
0.750 0.250 0.500
0.178 0.625 0.053
0.375 0.428 0.553
0.572 0.125 0.947
0.875 0.822 0.447
0.250 0.750 0.500
0.500 0.500 0.000
```

* ΔE_f: 0.492 eV per atom


Calculated total energy in eV for the cell shown, matching the order above: -48.348; -25.899; -36.102